## CsNa3U4Mo2O20 (GGA+U)

Data for a geometry-optimized CsNa3U4Mo2O20 structure.

Unit cell a=6.678 b=6.931 c=11.567 alpha=83.93 beta=77.08 gamma=81.23
Space group P-1 (No. 2)
One atom of each set of equivalent atoms:
1 Cs 0.000 0.000 0.000
2 Na 0.000 0.000 0.500
3 Na 0.056 0.470 0.666
4 U 0.466 0.769 0.245
5 U 0.493 0.259 0.437
6 Mo 0.394 0.330 0.102
7 O 0.128 0.396 0.118
8 O 0.181 0.776 0.295
9 O 0.202 0.301 0.471
10 O 0.218 0.780 0.604
11 O 0.251 0.245 0.811
12 O 0.422 0.066 0.128
13 O 0.444 0.654 0.056
14 O 0.467 0.418 0.602
15 O 0.472 0.959 0.391
16 O 0.479 0.390 0.232

Results
- VASP energy (Ry/atom) = -0.5854